## CdWBr2 (GGA-PBE)

Data for a relaxed CdWBr2 crystal.

**Energy relative to the lowest polymorph listed for this composition**: 20 meV per atom

Geometry as POSCAR:
```
CdWBr2
1.0
7.943 0.121 -0.247
7.293 3.151 -0.247
1.775 0.381 4.764
W Br Cd
1 2 1
direct
0.750 0.750 0.750 W
0.105 0.105 0.895 Br
0.395 0.395 0.605 Br
0.250 0.250 0.250 Cd
```

---

## CdWBr4 (GGA-PBE)

Data for a relaxed CdWBr4 crystal.

Geometry as POSCAR:
```
CdWBr4
1.0
-2.230 -5.810 0.089
0.695 -3.522 5.084
-4.939 -1.384 3.526
Cd W Br
1 1 4
direct
0.750 0.750 0.750 Cd
0.000 0.000 0.000 W
0.878 0.374 0.374 Br
0.374 0.374 0.878 Br
0.374 0.878 0.374 Br
0.374 0.374 0.374 Br
```

---

## CdWBr2 (GGA-PBE)

Data for a relaxed CdWBr2 crystal.

**Energy relative to the lowest polymorph listed for this composition**: 0 meV per atom

Geometry as POSCAR:
```
CdWBr2
1.0
3.205 0.000 0.000
0.000 4.841 0.001
0.000 2.406 7.428
Br W Cd
2 1 1
direct
0.000 0.851 0.925 Br
0.500 0.151 0.321 Br
0.500 0.986 0.654 W
0.000 0.512 0.601 Cd
```

---

## CdWBr2 (GGA-PBE)

Data for a relaxed CdWBr2 crystal.

**Energy relative to the lowest polymorph listed for this composition**: 208 meV per atom

Geometry as POSCAR:
```
CdWBr2
1.0
3.190 0.000 0.000
0.000 3.190 0.000
0.000 0.000 8.736
Br W Cd
2 1 1
direct
0.000 0.000 0.925 Br
0.500 0.500 0.295 Br
0.500 0.500 0.758 W
0.000 0.000 0.522 Cd
```

---

## CdWBr2 (GGA-PBE)

Data for a relaxed CdWBr2 crystal.

**Energy relative to the lowest polymorph listed for this composition**: 18 meV per atom

Geometry as POSCAR:
```
CdWBr2
1.0
-4.416 -0.753 8.524
-3.976 -3.961 7.825
-1.537 -2.224 9.242
Br W Cd
2 1 1
direct
0.021 0.021 0.021 Br
0.238 0.238 0.238 Br
0.747 0.747 0.747 W
0.494 0.494 0.494 Cd
```

---

## CdWBr2 (GGA-PBE)

Data for a relaxed CdWBr2 crystal.

**Energy relative to the lowest polymorph listed for this composition**: 219 meV per atom

Geometry as POSCAR:
```
CdWBr2
1.0
-1.702 2.011 2.157
-0.975 -3.166 -0.786
5.524 -3.622 7.735
Br W Cd
2 1 1
direct
0.000 0.000 0.940 Br
0.500 0.500 0.301 Br
0.500 0.500 0.747 W
0.000 0.000 0.512 Cd
```

---

What are the DOS(E_F) values for these records? In order: 0.76 8.81 3.49 1.19 3.79 2.84 states/eV per cell.
What are the formation energy without anion corrections values for these records? In order: 234 1354 213 421 231 432 meV per atom.